*1*
BaCdGaAg2: optimized geometry, GGA-PBE.

Output
Its density of states at the Fermi level is 0.52 states/eV/atom. As for the volume: 128 Å³/f.u.

Cell lengths 4.645, 4.788, 11.539 Å; angles 90.00, 90.00, 90.00 degrees
Space group Imm2 (No. 44)
One atom of each set of equivalent atoms:
Ba 0.000 0.000 0.000
Cd 0.000 0.500 0.746
Ga 0.000 0.000 0.624
Ag 0.000 0.000 0.392
Ag 0.000 0.500 0.243



*2*
BaCdGaAg2: optimized geometry, GGA-PBE.

Output
Its density of states at the Fermi level is 0.39 states/eV/atom. As for the volume: 139 Å³/f.u.

Cell lengths 5.119, 5.119, 5.307 Å; angles 90.00, 90.00, 90.00 degrees
Space group P4/mmm (No. 123)
One atom of each set of equivalent atoms:
Ba 0.000 0.000 0.000
Cd 0.500 0.500 0.000
Ga 0.500 0.500 0.500
Ag 0.000 0.500 0.500



Stability check: which of them is least stable? *2*.



*1*
BaCd2GaAg: optimized geometry, GGA-PBE.

Output
Its density of states at the Fermi level is 0.43 states/eV/atom. As for the volume: 147 Å³/f.u.

Cell lengths 5.333, 5.333, 5.154 Å; angles 90.00, 90.00, 90.00 degrees
Space group P4/mmm (No. 123)
One atom of each set of equivalent atoms:
Ba 0.000 0.000 0.000
Cd 0.000 0.500 0.500
Ga 0.500 0.500 0.500
Ag 0.500 0.500 0.000



*2*
BaCd2GaAg: optimized geometry, GGA-PBE.

Output
Its density of states at the Fermi level is 0.42 states/eV/atom. As for the volume: 134 Å³/f.u.

Cell lengths 4.936, 4.947, 10.938 Å; angles 90.00, 90.00, 90.00 degrees
Space group Imm2 (No. 44)
One atom of each set of equivalent atoms:
Ba 0.000 0.000 0.000
Cd 0.000 0.000 0.382
Cd 0.000 0.500 0.243
Ga 0.000 0.000 0.632
Ag 0.000 0.500 0.736



*3*
BaCd2GaAg: optimized geometry, GGA-PBE.

Output
Its density of states at the Fermi level is 0.66 states/eV/atom. As for the volume: 147 Å³/f.u.

Cell lengths 5.359, 5.359, 5.104 Å; angles 90.00, 90.00, 90.00 degrees
Space group P4/mmm (No. 123)
One atom of each set of equivalent atoms:
Ba 0.000 0.000 0.000
Cd 0.000 0.500 0.500
Ga 0.500 0.500 0.000
Ag 0.500 0.500 0.500



Stability check: which of them is least stable? *3*.